# 1
Crystalline TbY2Sc2 at its relaxed geometry. Source: Alexandria via LeMat-Bulk, functional PBE.

Output
formation enthalpy at 0 K = 0.055 eV/atom
Fermi-level density of states = 17.07 states/eV per cell
space group = C2/m (12)
raw total energy = -59.89 eV per cell
energy above the most stable polymorph in this dataset = 0.00 eV/f.u.

a b c (Å): 4.7751 6.9609 15.1519
angles (deg): 36.54 99.07 90.00
Element x y z (fractional)
Tb 0.0000 0.2500 0.0000
Y 0.8039 0.4365 0.6078
Sc 0.4017 0.3441 0.8035
Sc 0.5983 0.1559 0.1965
Y 0.1961 0.0635 0.3922
Sc 0.4017 0.8441 0.8035
Tb 0.0000 0.7500 0.0000
Y 0.1961 0.5635 0.3922
Sc 0.5983 0.6559 0.1965
Y 0.8039 0.9365 0.6078

# 2
Crystalline Tb5Y2Sc12 at its relaxed geometry. Source: Alexandria via LeMat-Bulk, functional PBE.

Output
formation enthalpy at 0 K = 0.138 eV/atom
Fermi-level density of states = 27.35 states/eV per cell
space group = C2/m (12)
raw total energy = -109.44 eV per cell

a b c (Å): 8.6816 8.5315 8.2678
angles (deg): 92.72 90.00 120.58
Element x y z (fractional)
Sc 0.4414 0.2590 0.6657
Sc 0.9311 0.8621 0.1294
Sc 0.8176 0.2590 0.6657
Sc 0.9692 0.2936 0.2498
Sc 0.3244 0.2936 0.2498
Tb 0.2857 0.5715 0.9860
Sc 0.0308 0.7064 0.7502
Sc 0.6756 0.7064 0.7502
Sc 0.5586 0.7410 0.3343
Y 0.3212 0.0000 0.0000
Tb 0.0000 0.0000 0.5000
Sc 0.1824 0.7410 0.3343
Sc 0.0689 0.1379 0.8706
Sc 0.5523 0.1047 0.3392
Y 0.6788 0.0000 0.0000
Tb 0.7143 0.4285 0.0140
Tb 0.7651 0.5303 0.4248
Sc 0.4477 0.8953 0.6608
Tb 0.2349 0.4697 0.5752

# 3
Crystalline Tb3Y4Sc at its relaxed geometry. Source: Alexandria via LeMat-Bulk, functional PBE.

Output
formation enthalpy at 0 K = 0.016 eV/atom
Fermi-level density of states = 28.77 states/eV per cell
space group = Pmn2_1 (31)
raw total energy = -91.91 eV per cell
energy above the most stable polymorph in this dataset = 0.00 eV/f.u.

a b c (Å): 6.2353 7.2291 11.1834
angles (deg): 90.00 90.00 90.00
Element x y z (fractional)
Tb 0.9774 0.6213 0.7502
Y 0.1434 0.8729 0.5000
Y 0.4857 0.8721 0.7458
Y 0.6434 0.1271 0.0000
Tb 0.1486 0.3773 0.5000
Y 0.9857 0.1279 0.7542
Y 0.6493 0.1284 0.5000
Tb 0.6486 0.6227 0.0000
Tb 0.9774 0.6213 0.2498
Sc 0.1477 0.3763 0.0000
Sc 0.6477 0.6237 0.5000
Tb 0.4774 0.3787 0.2502
Tb 0.4774 0.3787 0.7498
Y 0.9857 0.1279 0.2458
Y 0.4857 0.8721 0.2542
Y 0.1493 0.8716 0.0000

# 4
Crystalline Tb5Y3Sc2 at its relaxed geometry. Source: Alexandria via LeMat-Bulk, functional PBE.

Output
formation enthalpy at 0 K = 0.201 eV/atom
Fermi-level density of states = 34.81 states/eV per cell
space group = C2/c (15)
raw total energy = -106.40 eV per cell

a b c (Å): 9.2557 9.2756 10.9163
angles (deg): 124.80 124.76 69.87
Element x y z (fractional)
Sc 0.7670 0.0099 0.7287
Tb 0.9668 0.2168 0.4337
Tb 0.5317 0.2817 0.5634
Sc 0.4618 0.7189 0.7288
Sc 0.5382 0.2811 0.2712
Tb 0.8466 0.6042 0.7168
Sc 0.2330 0.9901 0.2713
Tb 0.7277 0.4776 0.9554
Y 0.7345 0.4769 0.2574
Y 0.2655 0.5231 0.7426
Y 0.7650 0.0150 0.0301
Tb 0.3702 0.1126 0.7168
Tb 0.6298 0.8874 0.2832
Y 0.2350 0.9850 0.9699
Tb 0.2723 0.5224 0.0446
Tb 0.4683 0.7183 0.4366
Tb 0.0332 0.7832 0.5663
Tb 0.1534 0.3958 0.2832
Y 0.9772 0.2196 0.7427
Y 0.0228 0.7804 0.2573

# 5
Crystalline Tb7YSc4 at its relaxed geometry. Source: Alexandria via LeMat-Bulk, functional PBE.

Output
formation enthalpy at 0 K = 0.243 eV/atom
Fermi-level density of states = 20.17 states/eV per cell
space group = C2/m (12)
raw total energy = -61.28 eV per cell
energy above the most stable polymorph in this dataset = 2.64 eV/f.u.

a b c (Å): 5.7475 9.1090 8.2496
angles (deg): 65.38 69.61 71.61
Element x y z (fractional)
Tb 0.5000 0.0000 0.0000
Sc 0.6656 0.6512 0.0176
Sc 0.5559 0.2988 0.5895
Tb 0.9107 0.4492 0.7294
Sc 0.3344 0.3488 0.9824
Sc 0.4441 0.7012 0.4105
Tb 0.0893 0.5508 0.2706
Tb 0.7898 0.8834 0.5369
Tb 0.7602 0.2756 0.2039
Y 0.0000 0.0000 0.0000
Tb 0.2398 0.7244 0.7961
Tb 0.2102 0.1166 0.4631

# 6
Crystalline TbY4Sc3 at its relaxed geometry. Source: Alexandria via LeMat-Bulk, functional PBE.

Output
formation enthalpy at 0 K = 0.064 eV/atom
Fermi-level density of states = 13.07 states/eV per cell
space group = C2/m (12)
raw total energy = -48.97 eV per cell
energy above the most stable polymorph in this dataset = 0.00 eV/f.u.

a b c (Å): 6.8893 6.8947 7.7187
angles (deg): 77.38 132.00 119.64
Element x y z (fractional)
Sc 0.5000 0.5000 0.0000
Tb 0.0000 0.0000 0.0000
Y 0.7467 0.7475 0.4942
Y 0.0000 0.5000 0.0000
Sc 0.7527 0.2527 0.5000
Y 0.2533 0.2525 0.5058
Y 0.5000 0.0000 0.0000
Sc 0.2473 0.7473 0.5000

# 7
Crystalline Tb5YSc at its relaxed geometry. Source: Alexandria via LeMat-Bulk, functional PBE.

Output
formation enthalpy at 0 K = 0.165 eV/atom
Fermi-level density of states = 22.36 states/eV per cell
space group = C2/c (15)
raw total energy = -69.58 eV per cell
energy above the most stable polymorph in this dataset = 0.00 eV/f.u.

a b c (Å): 7.5351 5.9644 12.8634
angles (deg): 90.15 90.00 129.17
Element x y z (fractional)
Tb 0.1758 0.5988 0.3874
Tb 0.8257 0.4042 0.8863
Tb 0.9015 0.0000 0.7500
Y 0.6930 0.0000 0.2500
Tb 0.5770 0.4012 0.1126
Sc 0.0000 0.0000 0.5000
Tb 0.8242 0.4012 0.6126
Y 0.3070 0.0000 0.7500
Tb 0.5785 0.4042 0.3863
Tb 0.4230 0.5988 0.8874
Tb 0.4215 0.5958 0.6137
Tb 0.1743 0.5958 0.1137
Sc 0.0000 0.0000 0.0000
Tb 0.0985 0.0000 0.2500

# 8
Crystalline Tb12Y5Sc2 at its relaxed geometry. Source: Alexandria via LeMat-Bulk, functional PBE.

Output
formation enthalpy at 0 K = 0.163 eV/atom
Fermi-level density of states = 30.23 states/eV per cell
space group = C2/m (12)
raw total energy = -97.45 eV per cell
energy above the most stable polymorph in this dataset = 0.89 eV/f.u.

a b c (Å): 7.3724 10.1789 9.7637
angles (deg): 64.42 90.00 111.23
Element x y z (fractional)
Tb 0.4961 0.9923 0.3166
Y 0.3209 0.6418 0.1892
Tb 0.9129 0.3194 0.1529
Tb 0.5960 0.6763 0.4905
Y 0.1780 0.3559 0.8222
Tb 0.4065 0.3194 0.1529
Sc 0.6937 0.0000 0.0000
Tb 0.0871 0.6806 0.8471
Tb 0.5039 0.0077 0.6834
Tb 0.9197 0.3237 0.5095
Tb 0.0026 0.0053 0.7999
Tb 0.5935 0.6806 0.8471
Tb 0.4040 0.3237 0.5095
Y 0.6791 0.3582 0.8108
Y 0.8220 0.6441 0.1778
Tb 0.0803 0.6763 0.4905
Tb 0.9974 0.9947 0.2001
Y 0.0000 0.0000 0.5000
Sc 0.3063 0.0000 0.0000

# 9
Crystalline Tb5Y5Sc at its relaxed geometry. Source: Alexandria via LeMat-Bulk, functional PBE.

Output
formation enthalpy at 0 K = 0.274 eV/atom
Fermi-level density of states = 17.56 states/eV per cell
space group = C2/m (12)
raw total energy = -58.79 eV per cell

a b c (Å): 5.8912 9.8363 6.9151
angles (deg): 110.49 90.00 107.43
Element x y z (fractional)
Y 0.8244 0.6489 0.0692
Y 0.5000 0.0000 0.0000
Tb 0.3297 0.6594 0.8292
Tb 0.6236 0.2473 0.6242
Y 0.8243 0.6486 0.5798
Y 0.1756 0.3511 0.9308
Y 0.1757 0.3514 0.4202
Sc 0.0000 0.0000 0.0000
Tb 0.6703 0.3406 0.1708
Tb 0.3764 0.7527 0.3758
Tb 0.0000 0.0000 0.5000

# 10
Crystalline Tb5YSc3 at its relaxed geometry. Source: Alexandria via LeMat-Bulk, functional PBE.

Output
formation enthalpy at 0 K = 0.473 eV/atom
Fermi-level density of states = 26.61 states/eV per cell
space group = C2/m (12)
raw total energy = -88.70 eV per cell

a b c (Å): 9.1904 9.1904 11.2651
angles (deg): 53.11 53.11 74.87
Element x y z (fractional)
Sc 0.3437 0.3437 0.6374
Sc 0.0000 0.0000 0.0000
Y 0.1522 0.1522 0.5942
Sc 0.6563 0.6563 0.3626
Sc 0.3104 0.3104 0.1780
Tb 0.5109 0.5109 0.7657
Tb 0.7450 0.2550 0.0000
Tb 0.4891 0.4891 0.2343
Tb 0.1441 0.6502 0.7400
Tb 0.2550 0.7450 0.0000
Tb 0.6502 0.1441 0.7400
Sc 0.0000 0.0000 0.5000
Tb 0.8559 0.3498 0.2600
Tb 0.8158 0.8158 0.9663
Sc 0.6896 0.6896 0.8220
Tb 0.3498 0.8559 0.2600
Y 0.8478 0.8478 0.4058
Tb 0.1842 0.1842 0.0337

# 11
Crystalline Tb8YSc2 at its relaxed geometry. Source: Alexandria via LeMat-Bulk, functional PBE.

Output
formation enthalpy at 0 K = 0.165 eV/atom
Fermi-level density of states = 16.04 states/eV per cell
space group = C2/m (12)
raw total energy = -54.35 eV per cell
energy above the most stable polymorph in this dataset = 0.45 eV/f.u.

a b c (Å): 5.8089 8.9031 9.1630
angles (deg): 60.93 74.10 55.67
Element x y z (fractional)
Tb 0.1805 0.6592 0.2441
Tb 0.7082 0.5673 0.0000
Tb 0.1805 0.9033 0.7559
Sc 0.0000 0.6888 0.6224
Sc 0.0000 0.3112 0.3776
Tb 0.8195 0.0967 0.2441
Tb 0.5000 0.2075 0.5851
Tb 0.2918 0.4327 0.0000
Tb 0.5000 0.7925 0.4149
Tb 0.8195 0.3408 0.7559
Y 0.5000 0.0000 0.0000

# 12
Crystalline TbY2Sc3 at its relaxed geometry. Source: Alexandria via LeMat-Bulk, functional PBE.

Output
formation enthalpy at 0 K = 0.244 eV/atom
Fermi-level density of states = 31.69 states/eV per cell
space group = P-3m1 (164)
raw total energy = -70.18 eV per cell
energy above the most stable polymorph in this dataset = 0.00 eV/f.u.

a b c (Å): 6.3018 6.3018 10.4748
angles (deg): 90.00 90.00 120.00
Element x y z (fractional)
Y 0.0000 0.0000 0.5000
Sc 0.1711 0.8289 0.2508
Y 0.3333 0.6667 0.5578
Tb 0.6667 0.3333 0.0567
Y 0.6667 0.3333 0.4422
Sc 0.8289 0.6578 0.7492
Sc 0.1711 0.3422 0.2508
Sc 0.3422 0.1711 0.7492
Tb 0.3333 0.6667 0.9433
Y 0.0000 0.0000 0.0000
Sc 0.8289 0.1711 0.7492
Sc 0.6578 0.8289 0.2508

# 13
Crystalline TbY2Sc4 at its relaxed geometry. Source: Alexandria via LeMat-Bulk, functional PBE.

Output
formation enthalpy at 0 K = 0.179 eV/atom
Fermi-level density of states = 12.42 states/eV per cell
space group = Cmmm (65)
raw total energy = -41.63 eV per cell
energy above the most stable polymorph in this dataset = 0.76 eV/f.u.

a b c (Å): 5.2345 3.6200 10.7322
angles (deg): 99.71 90.00 90.00
Element x y z (fractional)
Sc 0.5000 0.3020 0.6040
Y 0.5000 0.0743 0.1485
Y 0.5000 0.9257 0.8515
Tb 0.0000 0.5000 0.0000
Sc 0.0000 0.1820 0.3640
Sc 0.0000 0.8180 0.6360
Sc 0.5000 0.6980 0.3960

# 14
Crystalline Tb3Y3Sc2 at its relaxed geometry. Source: Alexandria via LeMat-Bulk, functional PBE.

Output
formation enthalpy at 0 K = 0.044 eV/atom
Fermi-level density of states = 12.89 states/eV per cell
space group = Immm (71)
raw total energy = -45.59 eV per cell

a b c (Å): 4.9739 4.9742 10.3536
angles (deg): 103.91 103.91 89.96
Element x y z (fractional)
Y 0.3689 0.3689 0.7378
Tb 0.8688 0.8688 0.7377
Y 0.5000 0.0000 0.0000
Sc 0.7501 0.2501 0.5002
Tb 0.1312 0.1312 0.2623
Tb 0.0000 0.5000 0.0000
Y 0.6311 0.6311 0.2622
Sc 0.2499 0.7499 0.4998

# 15
Crystalline Tb7Y12Sc at its relaxed geometry. Source: Alexandria via LeMat-Bulk, functional PBE.

Output
formation enthalpy at 0 K = 0.172 eV/atom
Fermi-level density of states = 39.21 states/eV per cell
space group = R-3 (148)
raw total energy = -112.88 eV per cell
energy above the most stable polymorph in this dataset = 0.00 eV/f.u.

a b c (Å): 9.2579 9.2579 9.2579
angles (deg): 107.69 107.69 107.69
Element x y z (fractional)
Tb 0.9996 0.9007 0.3131
Y 0.3206 0.6106 0.7880
Y 0.5976 0.9387 0.7006
Tb 0.5000 0.5000 0.5000
Y 0.7880 0.3206 0.6106
Y 0.6794 0.3894 0.2120
Y 0.2994 0.4024 0.0613
Y 0.6106 0.7880 0.3206
Y 0.2120 0.6794 0.3894
Y 0.0613 0.2994 0.4024
Y 0.7006 0.5976 0.9387
Y 0.9387 0.7006 0.5976
Y 0.3894 0.2120 0.6794
Tb 0.0004 0.0993 0.6869
Tb 0.0993 0.6869 0.0004
Tb 0.6869 0.0004 0.0993
Tb 0.3131 0.9996 0.9007
Tb 0.9007 0.3131 0.9996
Y 0.4024 0.0613 0.2994
Sc 0.0000 0.0000 0.0000

# 16
Crystalline Tb8YSc2 at its relaxed geometry. Source: Alexandria via LeMat-Bulk, functional PBE.

Output
formation enthalpy at 0 K = 0.124 eV/atom
Fermi-level density of states = 18.44 states/eV per cell
space group = Immm (71)
raw total energy = -54.80 eV per cell
energy above the most stable polymorph in this dataset = 0.00 eV/f.u.

a b c (Å): 5.3842 8.2720 9.1578
angles (deg): 116.85 107.10 90.00
Element x y z (fractional)
Tb 0.8385 0.8385 0.6770
Tb 0.6429 0.4399 0.2859
Sc 0.2020 0.7019 0.4039
Tb 0.3571 0.1540 0.7141
Tb 0.3571 0.5601 0.7141
Tb 0.0000 0.3017 0.0000
Y 0.5000 0.0000 0.0000
Tb 0.1615 0.1615 0.3230
Sc 0.7980 0.2981 0.5961
Tb 0.6429 0.8460 0.2859
Tb 0.0000 0.6983 0.0000

# 17
Crystalline Tb2Y5Sc at its relaxed geometry. Source: Alexandria via LeMat-Bulk, functional PBE.

Output
formation enthalpy at 0 K = 0.016 eV/atom
Fermi-level density of states = 15.00 states/eV per cell
space group = Fmm2 (42)
raw total energy = -47.78 eV per cell
energy above the most stable polymorph in this dataset = 0.00 eV/f.u.

a b c (Å): 7.2079 7.2077 6.6690
angles (deg): 105.68 105.68 119.99
Element x y z (fractional)
Tb 0.2297 0.8155 0.4896
Y 0.3214 0.7397 0.0000
Y 0.8160 0.2344 0.0000
Y 0.2371 0.3184 0.4998
Y 0.7373 0.8187 0.5002
Sc 0.8201 0.7356 0.0000
Tb 0.7402 0.3259 0.5104
Y 0.3212 0.2348 0.0000

# 18
Crystalline Tb2Y5Sc at its relaxed geometry. Source: Alexandria via LeMat-Bulk, functional PBE.

Output
formation enthalpy at 0 K = 0.126 eV/atom
Fermi-level density of states = 31.10 states/eV per cell
space group = Cmcm (63)
raw total energy = -93.80 eV per cell
energy above the most stable polymorph in this dataset = 0.88 eV/f.u.

a b c (Å): 5.4879 6.5456 15.6188
angles (deg): 90.00 90.00 114.78
Element x y z (fractional)
Y 0.0790 0.1580 0.0973
Y 0.3793 0.7585 0.4511
Tb 0.7795 0.5589 0.1350
Sc 0.7314 0.4628 0.7500
Sc 0.2686 0.5372 0.2500
Tb 0.7795 0.5589 0.3650
Y 0.0790 0.1580 0.4027
Y 0.3793 0.7585 0.0489
Y 0.6207 0.2415 0.9511
Y 0.9210 0.8420 0.9027
Tb 0.2205 0.4411 0.6350
Y 0.6207 0.2415 0.5489
Y 0.4640 0.9280 0.7500
Y 0.5360 0.0720 0.2500
Tb 0.2205 0.4411 0.8650
Y 0.9210 0.8420 0.5973

# 19
Crystalline Tb4Y5Sc at its relaxed geometry. Source: Alexandria via LeMat-Bulk, functional PBE.

Output
formation enthalpy at 0 K = 0.243 eV/atom
Fermi-level density of states = 13.72 states/eV per cell
space group = I4mm (107)
raw total energy = -54.75 eV per cell
energy above the most stable polymorph in this dataset = 1.01 eV/f.u.

a b c (Å): 5.7889 8.0341 8.0341
angles (deg): 82.54 68.88 68.88
Element x y z (fractional)
Sc 0.2009 0.0000 0.0000
Y 0.7755 0.3739 0.0001
Y 0.6682 0.0000 0.0000
Tb 0.7721 0.6757 0.6758
Y 0.1494 0.6261 0.9999
Tb 0.1236 0.3243 0.3242
Y 0.7756 0.9999 0.3739
Y 0.1493 0.0001 0.6261
Tb 0.4478 0.6758 0.3243
Tb 0.4479 0.3242 0.6757